A geometry-optimized Pm5InHg2 structure, computed with PBE-GGA.

Lattice parameters (Å, degrees): 8.582 8.582 13.119 90.00 90.00 90.00
Space group I4/mcm (No. 140)
Asymmetric unit:
1 Pm 0.000 0.000 0.000 [4 per cell]
2 Pm 0.155 0.345 0.150 [16 per cell]
3 In 0.000 0.000 0.250 [4 per cell]
4 Hg 0.139 0.361 0.500 [8 per cell]

- Total DFT energy (no corrections): -3.739 eV per atom